PaAlMo | PBE | optimized geometry

```
6
Lattice="4.767 0.011 -2.617 -3.129 4.444 -0.176 0.042 -0.011 5.438" Properties=species:S:1:pos:R:3 pbc="T T T"
Mo 2.404 0.000 1.411
Mo -1.544 2.216 2.631
Al 0.840 2.222 1.323
Al -1.564 2.222 -0.088
Pa 0.795 3.965 -1.355
Pa 0.885 0.480 4.000
```

Summary:
- SG = Imma, No. 74
- energy above the lowest structure with this stoichiometry (meV per atom) = 0
- total magnetization (μB/cell) = 0.000
- E_form (kJ/mol of formula units) = -57
- density of states at the Fermi level (states/eV per atom) = 1.25



PaAlMo2 | PBE | optimized geometry

```
4
Lattice="3.419 0.000 0.000 0.000 3.419 0.000 0.000 0.000 6.181" Properties=species:S:1:pos:R:3 pbc="T T T"
Al 1.710 1.710 0.000
Mo 0.000 0.000 1.402
Mo 0.000 0.000 4.778
Pa 1.710 1.710 3.090
```

Summary:
- SG = P4/mmm, No. 123
- energy above the lowest structure with this stoichiometry (meV per atom) = 178
- total magnetization (μB/cell) = 0.000
- E_form (kJ/mol of formula units) = 32
- density of states at the Fermi level (states/eV per atom) = 1.42